1.
Density functional theory data (PBE) for crystalline Nd3Y7 at its relaxed geometry.

```
Nd3Y7
1.0
10.844 0.000 0.000
-5.422 9.391 0.000
0.000 0.000 6.571
Nd Y
6 14
direct
0.202 0.404 0.000
0.202 0.798 0.000
0.404 0.202 0.500
0.596 0.798 0.000
0.798 0.202 0.500
0.798 0.596 0.500
0.059 0.529 0.662
0.121 0.242 0.479
0.121 0.879 0.479
0.242 0.121 0.979
0.333 0.667 0.341
0.471 0.529 0.662
0.471 0.941 0.662
0.529 0.059 0.162
0.529 0.471 0.162
0.667 0.333 0.841
0.758 0.879 0.479
0.879 0.121 0.979
0.879 0.758 0.979
0.941 0.471 0.162
```

Computed properties:
**Energy above the most stable polymorph in this dataset**: 145 meV/atom
**ΔE_f**: 1.6 eV per formula unit
**SG**: P6_3mc
**Theoretical density**: 5.2 g/cm3

2.
Density functional theory data (PBE) for crystalline Dy5ScP6 at its relaxed geometry.

```
Dy5ScP6
1.0
3.438 -5.953 0.000
3.438 5.953 0.000
-2.295 0.000 6.480
Dy Sc P
5 1 6
direct
0.000 0.000 0.000
0.166 0.834 0.500
0.332 0.668 0.000
0.668 0.332 0.000
0.834 0.166 0.500
0.500 0.500 0.500
0.093 0.419 0.255
0.256 0.256 0.746
0.419 0.093 0.255
0.581 0.907 0.745
0.744 0.744 0.254
0.907 0.581 0.745
```

Computed properties:
**ΔE_f**: -19.0 eV per formula unit
**SG**: C2/m
**Theoretical density**: 6.5 g/cm3

3.
Density functional theory data (PBE) for crystalline LaPm3Pr7 at its relaxed geometry.

```
LaPm3Pr7
1.0
6.014 -5.186 0.000
6.014 5.186 0.000
-0.668 0.000 6.533
La Pm Pr
1 3 7
direct
0.000 0.000 0.000
0.329 0.671 0.500
0.500 0.500 0.000
0.671 0.329 0.500
0.000 0.000 0.500
0.075 0.425 0.761
0.265 0.265 0.288
0.425 0.075 0.761
0.575 0.925 0.239
0.735 0.735 0.712
0.925 0.575 0.239
```

Computed properties:
**Energy above the most stable polymorph in this dataset**: 0 meV/atom
**ΔE_f**: 2.2 eV per formula unit
**SG**: C2/m
**Theoretical density**: 6.4 g/cm3

4.
Density functional theory data (PBE) for crystalline LiGePBr at its relaxed geometry.

```
LiGePBr
1.0
3.783 0.000 0.000
0.899 3.675 0.000
0.143 0.119 6.615
Li Ge P Br
1 1 1 1
direct
0.000 0.000 0.000
0.367 0.361 0.552
0.975 0.969 0.611
0.401 0.400 0.127
```

Computed properties:
**Energy above the most stable polymorph in this dataset**: 30 meV/atom
**Formation energy (no corrections)**: -0.523 eV/atom
**SG**: P1
**Theoretical density**: 3.4 g/cm3

5.
Density functional theory data (PBE) for crystalline DyPd2Pb2 at its relaxed geometry.

```
DyPd2Pb2
1.0
4.811 0.000 0.000
0.000 4.908 0.000
0.000 0.000 10.032
Dy Pd Pb
2 4 4
direct
0.250 0.250 0.174
0.750 0.750 0.826
0.250 0.750 0.328
0.250 0.750 0.993
0.750 0.250 0.007
0.750 0.250 0.672
0.250 0.250 0.507
0.250 0.250 0.835
0.750 0.750 0.165
0.750 0.750 0.493
```

Computed properties:
**ΔE_f**: -2.7 eV per formula unit
**SG**: Pmmn
**Theoretical density**: 11.1 g/cm3

6.
Density functional theory data (PBE) for crystalline Pr3CuIr8 at its relaxed geometry.

```
Pr3CuIr8
1.0
2.706 1.562 8.786
-2.706 1.562 8.786
0.000 -3.124 8.786
Pr Cu Ir
3 1 8
direct
0.000 0.000 0.000
0.129 0.129 0.129
0.514 0.514 0.514
0.645 0.645 0.645
0.065 0.566 0.566
0.067 0.067 0.569
0.067 0.569 0.067
0.316 0.316 0.316
0.566 0.065 0.566
0.566 0.566 0.065
0.569 0.067 0.067
0.816 0.816 0.816
```

Computed properties:
**ΔE_f**: -4.9 eV per formula unit
**SG**: R3m
**Theoretical density**: 15.1 g/cm3